# PBE-GGA K2LiSc, relaxed
data_K2LiSc
_chemical_formula_sum 'K6 Li3 Sc3'
_cell_length_a 3.6782
_cell_length_b 3.6782
_cell_length_c 39.4924
_cell_angle_alpha 90.00
_cell_angle_beta 90.00
_cell_angle_gamma 120.00
_space_group_name_H-M_alt 'R -3 m'
_space_group_IT_number 166
_space_group_name_Hall '-R 3 2"'
loop_
_atom_site_label
_atom_site_fract_x
_atom_site_fract_y
_atom_site_fract_z
K1 0.0000 0.0000 0.2485
Li1 0.0000 0.0000 0.5000
Sc1 0.0000 0.0000 0.0000
# ΔH_f (0 K)	10.93	kcal/mol of atoms

=====

# PBE-GGA BaTaS2, relaxed
data_BaTaS2
_chemical_formula_sum 'Ba4 Ta4 S8'
_cell_length_a 6.9317
_cell_length_b 6.9317
_cell_length_c 6.9317
_cell_angle_alpha 90.00
_cell_angle_beta 90.00
_cell_angle_gamma 90.00
_space_group_name_H-M_alt 'F m -3 m'
_space_group_IT_number 225
_space_group_name_Hall '-F 4 2 3'
loop_
_atom_site_label
_atom_site_fract_x
_atom_site_fract_y
_atom_site_fract_z
Ba1 0.0000 0.0000 0.0000
Ta1 0.0000 0.0000 0.5000
S1 0.2500 0.2500 0.2500
# formation energy from raw total energies	-1.44	eV per formula unit
# E above lowest polymorph	1.463	eV per formula unit

=====

# PBE-GGA Cu13P2, relaxed
data_Cu13P2
_chemical_formula_sum 'Cu13 P2'
_cell_length_a 4.9292
_cell_length_b 6.1682
_cell_length_c 6.7605
_cell_angle_alpha 66.02
_cell_angle_beta 87.15
_cell_angle_gamma 80.32
_space_group_name_H-M_alt 'P -1'
_space_group_IT_number 2
_space_group_name_Hall '-P 1'
loop_
_atom_site_label
_atom_site_fract_x
_atom_site_fract_y
_atom_site_fract_z
Cu1 0.0000 0.0000 0.0000
Cu2 0.0376 0.5219 0.6905
Cu3 0.2332 0.9914 0.6187
Cu4 0.2593 0.6092 0.9708
Cu5 0.2662 0.1690 0.2018
Cu6 0.4357 0.1969 0.8461
Cu7 0.4677 0.3778 0.3901
P1 0.1751 0.7716 0.3509
# ΔH_f (0 K)	0.41	kcal/mol of atoms

=====

# PBE-GGA Tb4DyHoS8, relaxed
data_Tb4DyHoS8
_chemical_formula_sum 'Tb12 Dy3 Ho3 S24'
_cell_length_a 8.0707
_cell_length_b 8.0707
_cell_length_c 19.7397
_cell_angle_alpha 90.00
_cell_angle_beta 90.00
_cell_angle_gamma 120.00
_space_group_name_H-M_alt 'R 3 m'
_space_group_IT_number 160
_space_group_name_Hall 'R 3 -2"'
loop_
_atom_site_label
_atom_site_fract_x
_atom_site_fract_y
_atom_site_fract_z
Tb1 0.0000 0.0000 0.0000
Tb2 0.0002 0.5001 0.1247
Dy1 0.0000 0.0000 0.2495
Ho1 0.0000 0.0000 0.6245
S1 0.0000 0.0000 0.3814
S2 0.0000 0.0000 0.8674
S3 0.0223 0.5111 0.3763
S4 0.1770 0.3539 0.2065
# formation energy from raw total energies	-27.08	eV per formula unit

=====

# PBE-GGA HoNpPa2As4, relaxed
data_HoNpPa2As4
_chemical_formula_sum 'Ho1 Np1 Pa2 As4'
_cell_length_a 7.0677
_cell_length_b 4.1061
_cell_length_c 7.1150
_cell_angle_alpha 90.00
_cell_angle_beta 109.58
_cell_angle_gamma 90.00
_space_group_name_H-M_alt 'P 1 2/m 1'
_space_group_IT_number 10
_space_group_name_Hall '-P 2y'
loop_
_atom_site_label
_atom_site_fract_x
_atom_site_fract_y
_atom_site_fract_z
Ho1 0.0000 0.0000 0.0000
Np1 0.0000 0.5000 0.5000
Pa1 0.5000 0.0000 0.5000
Pa2 0.5000 0.5000 0.0000
As1 0.2503 0.0000 0.7511
As2 0.2507 0.5000 0.2492
# ΔH_f (0 K)	-24.89	kcal/mol of atoms

=====

# PBE-GGA PmInBi2, relaxed
data_PmInBi2
_chemical_formula_sum 'Pm3 In3 Bi6'
_cell_length_a 4.7990
_cell_length_b 4.7990
_cell_length_c 20.8340
_cell_angle_alpha 90.00
_cell_angle_beta 90.00
_cell_angle_gamma 120.00
_space_group_name_H-M_alt 'R 3 m'
_space_group_IT_number 160
_space_group_name_Hall 'R 3 -2"'
loop_
_atom_site_label
_atom_site_fract_x
_atom_site_fract_y
_atom_site_fract_z
Pm1 0.0000 0.0000 0.0000
In1 0.0000 0.0000 0.1695
Bi1 0.0000 0.0000 0.4118
Bi2 0.0000 0.0000 0.5837
# E above lowest polymorph	0.809	eV per formula unit
# ΔH_f (0 K)	-5.58	kcal/mol of atoms